[1]
## Cs4SbF (PBE)

Data for a relaxed structure of Cs4SbF.

abc: 9.7710 9.7731 10.1873
angles: 106.08 106.09 115.02
Positions (direct):
Cs1 0.7993 0.2396 0.4127
Cs2 0.2603 0.7009 0.0876
Cs3 0.6132 0.6720 0.4122
Cs4 0.3868 0.3280 0.5878
Cs5 0.1723 0.1132 0.9124
Cs6 0.7397 0.2991 0.9124
Cs7 0.8277 0.8868 0.0876
Cs8 0.2007 0.7604 0.5873
F1 0.3746 0.1254 0.7499
F2 0.6254 0.8746 0.2501
Sb1 0.8752 0.6250 0.7501
Sb2 0.1248 0.3750 0.2499

Total magnetization (μB per atom): 0.00
Formation energy from raw total energies (kJ/mol of formula units): -626
Raw total energy (eV/f.u.): -15.9
ΔE to the lowest computed polymorph (meV per atom): 0
ρ (g cm⁻³): 2.96
Symmetry: C2/c
Volume (Å³ per cell): 755
DOS(E_F) (states/eV/atom): 0.625

[2]
## BaCaIn (PBE)

Data for a relaxed structure of BaCaIn.

abc: 7.6518 7.6518 7.6518
angles: 148.92 148.92 44.52
Positions (direct):
Ba1 0.0222 0.0222 0.0000
In1 0.6821 0.6821 0.0000
Ca1 0.2957 0.2957 0.0000

Total magnetization (μB per atom): 0.00
Raw total energy (eV/f.u.): -7.6
ρ (g cm⁻³): 4.08
Symmetry: I4mm
Volume (Å³ per cell): 119
DOS(E_F) (states/eV/atom): 0.864

[3]
## Sc2TiZn2 (PBE)

Data for a relaxed structure of Sc2TiZn2.

abc: 7.5595 7.5595 3.3606
angles: 90.00 90.00 90.00
Positions (direct):
Sc1 0.8242 0.3242 0.5000
Sc2 0.6758 0.8242 0.5000
Sc3 0.1758 0.6758 0.5000
Sc4 0.3242 0.1758 0.5000
Zn1 0.3760 0.8760 0.0000
Zn2 0.1240 0.3760 0.0000
Zn3 0.8760 0.6240 0.0000
Zn4 0.6240 0.1240 0.0000
Ti1 0.0000 0.0000 0.0000
Ti2 0.5000 0.5000 0.0000

Total magnetization (μB per atom): 0.30
Raw total energy (eV/f.u.): -23.7
ΔE to the lowest computed polymorph (meV per atom): 0
ρ (g cm⁻³): 4.64
Symmetry: P4/mbm
Volume (Å³ per cell): 192
DOS(E_F) (states/eV/atom): 1.206

[4]
## DyTm2ThBi5 (PBE)

Data for a relaxed structure of DyTm2ThBi5.

abc: 5.7223 5.7223 11.9296
angles: 90.00 90.00 90.00
Positions (direct):
Bi1 0.5000 0.0000 0.5000
Bi2 0.0000 0.0000 0.2415
Bi3 0.0000 0.0000 0.7585
Bi4 0.5000 0.5000 0.0000
Bi5 0.0000 0.5000 0.5000
Dy1 0.0000 0.0000 0.0000
Th1 0.0000 0.0000 0.5000
Tm1 0.5000 0.5000 0.7348
Tm2 0.5000 0.5000 0.2652

Total magnetization (μB per atom): 0.00
Raw total energy (eV/f.u.): -37.7
ρ (g cm⁻³): 7.56
Symmetry: P4/mmm
Volume (Å³ per cell): 391
DOS(E_F) (states/eV/atom): 0.712

[5]
## Tl3Te2 (PBE)

Data for a relaxed structure of Tl3Te2.

abc: 4.8223 12.4955 13.1569
angles: 51.06 90.00 101.13
Positions (direct):
Tl1 0.1711 0.3422 0.9757
Tl2 0.4854 0.9708 0.3667
Tl3 0.8289 0.6578 0.0243
Tl4 0.5000 0.0000 0.0000
Tl5 0.8856 0.7713 0.6407
Tl6 0.1144 0.2287 0.3593
Tl7 0.5146 0.0292 0.6333
Tl8 0.8264 0.6528 0.4248
Tl9 0.1736 0.3472 0.5752
Te1 0.0184 0.0367 0.7945
Te2 0.2859 0.5719 0.6099
Te3 0.3399 0.6798 0.8443
Te4 0.6601 0.3202 0.1557
Te5 0.9816 0.9633 0.2055
Te6 0.7141 0.4281 0.3901

Total magnetization (μB per atom): 0.00
Formation energy from raw total energies (kJ/mol of formula units): -98
Raw total energy (eV/f.u.): -14.4
ΔE to the lowest computed polymorph (meV per atom): 35
ρ (g cm⁻³): 7.24
Symmetry: C2/m
Volume (Å³ per cell): 597
DOS(E_F) (states/eV/atom): 0.339

[6]
## Cs2BeAl (PBE)

Data for a relaxed structure of Cs2BeAl.

abc: 13.9612 13.9612 10.1318
angles: 46.45 46.45 90.00
Positions (direct):
Al1 0.7500 0.2500 0.5000
Al2 0.0000 0.0000 0.0000
Be1 0.2500 0.7500 0.5000
Be2 0.5000 0.5000 0.0000
Cs1 0.3092 0.6250 0.2500
Cs2 0.3750 0.5592 0.7500
Cs3 0.8750 0.6908 0.7500
Cs4 0.4408 0.1250 0.2500

Total magnetization (μB per atom): 0.00
Raw total energy (eV/f.u.): -7.3
ρ (g cm⁻³): 2.26
Symmetry: I-42d
Volume (Å³ per cell): 444
DOS(E_F) (states/eV/atom): 0.970

[7]
## TbPm2Sm5Ho (PBE)

Data for a relaxed structure of TbPm2Sm5Ho.

abc: 8.6715 8.6715 10.1397
angles: 115.32 115.32 90.00
Positions (direct):
Tb1 0.7500 0.7500 0.5000
Tb2 0.2500 0.2500 0.5000
Ho1 0.2500 0.7500 0.5000
Ho2 0.7500 0.2500 0.5000
Pm1 0.8809 0.6191 0.0000
Pm2 0.3809 0.8809 0.0000
Pm3 0.6191 0.1191 0.0000
Pm4 0.1191 0.3809 0.0000
Sm1 0.0000 0.0000 0.0000
Sm2 0.8533 0.9282 0.2816
Sm3 0.1467 0.0718 0.7184
Sm4 0.5718 0.6467 0.7184
Sm5 0.5000 0.5000 0.0000
Sm6 0.4282 0.3533 0.2816
Sm7 0.6467 0.1467 0.7184
Sm8 0.3533 0.8533 0.2816
Sm9 0.0718 0.5718 0.7184
Sm10 0.9282 0.4282 0.2816

Total magnetization (μB per atom): 0.00
Raw total energy (eV/f.u.): -39.8
ρ (g cm⁻³): 7.47
Symmetry: I4/mcm
Volume (Å³ per cell): 607
DOS(E_F) (states/eV/atom): 1.483

[8]
## Cs3Sm7Se12 (PBE)

Data for a relaxed structure of Cs3Sm7Se12.

abc: 4.2762 13.1060 26.9189
angles: 90.00 90.00 90.00
Positions (direct):
Sm1 0.5000 0.1723 0.1825
Sm2 0.0000 0.1599 0.7115
Sm3 0.0000 0.9689 0.0849
Sm4 0.5000 0.8401 0.2115
Sm5 0.5000 0.3318 0.8169
Sm6 0.0000 0.8277 0.6825
Sm7 0.0000 0.6682 0.3169
Sm8 0.5000 0.7565 0.9989
Sm9 0.0000 0.2435 0.4989
Sm10 0.5000 0.0311 0.5849
Sm11 0.5000 0.6578 0.7881
Sm12 0.5000 0.4642 0.4176
Sm13 0.0000 0.5358 0.9176
Sm14 0.0000 0.3422 0.2881
Cs1 0.5000 0.8001 0.4756
Cs2 0.0000 0.4679 0.6284
Cs3 0.5000 0.9619 0.8631
Cs4 0.5000 0.5321 0.1284
Cs5 0.0000 0.0381 0.3631
Cs6 0.0000 0.1999 0.9756
Se1 0.0000 0.6159 0.4219
Se2 0.5000 0.3841 0.9219
Se3 0.5000 0.6842 0.8964
Se4 0.5000 0.1209 0.0780
Se5 0.0000 0.3204 0.1800
Se6 0.5000 0.6796 0.6800
Se7 0.0000 0.1817 0.8215
Se8 0.5000 0.0899 0.4812
Se9 0.0000 0.8042 0.7890
Se10 0.0000 0.4969 0.8043
Se11 0.5000 0.3063 0.7104
Se12 0.5000 0.9964 0.6970
Se13 0.5000 0.3924 0.5179
Se14 0.0000 0.3158 0.3964
Se15 0.5000 0.8192 0.1033
Se16 0.0000 0.6937 0.2104
Se17 0.5000 0.8183 0.3215
Se18 0.0000 0.6076 0.0179
Se19 0.0000 0.9101 0.9812
Se20 0.0000 0.1808 0.6033
Se21 0.0000 0.8791 0.5780
Se22 0.5000 0.1958 0.2890
Se23 0.5000 0.5031 0.3043
Se24 0.0000 0.0036 0.1970

Total magnetization (μB per atom): 0.00
Formation energy from raw total energies (kJ/mol of formula units): -3863
Raw total energy (eV/f.u.): -117.5
ρ (g cm⁻³): 5.28
Symmetry: Pmn2_1
Volume (Å³ per cell): 1509